No. 1
Entry from Alexandria: a relaxed structure of MgCoP2 (PBE).

The value obtained for the formation enthalpy at 0 K is -129 kJ/mol of formula units.

The structure belongs to space group C2/m (No. 12); the cell edges are 6.704, 3.363 and 5.448 Å and the angles 90.00°, 105.82° and 90.00°. The inequivalent atoms are Mg at (0.000, 0.000, 0.000), Co at (0.000, 0.500, 0.500) and P at (0.228, 0.000, 0.671).

No. 2
Entry from Alexandria: a relaxed structure of Rb2Tl6Pb3 (PBE).

The value obtained for the formation enthalpy at 0 K is -4 kJ/mol of formula units.

The structure belongs to space group Cmmm (No. 65); the cell edges are 12.608, 14.388 and 4.815 Å and the angles 90.00°, 90.00° and 90.00°. The inequivalent atoms are Rb at (0.000, 0.203, 0.000), Tl at (0.122, 0.000, 0.500), Tl at (0.189, 0.345, 0.500), Pb at (0.000, 0.500, 0.500) and Pb at (0.199, 0.500, 0.000).